Entry 1:
Material: MoCO2
Method: DFT, meta-GGA SCAN
State: PBEsol geometry

Cell: 6.183 6.183 6.183 Å, 24.97 24.97 24.97°
Sites, in units of the cell vectors:
Mo  0.000  0.000  0.000
C  0.500  0.500  0.500
O  0.112  0.112  0.112
O  0.888  0.888  0.888

calculated total energy: -13.5962 eV/atom
SG: R-3m, No. 166
formation energy from raw total energies: 766 meV per atom
total moment: 0.0 μB per formula unit
D(E_F): 0.32 states/eV/atom

Entry 2:
Material: MoPCO2
Method: DFT, meta-GGA SCAN
State: PBEsol geometry

Cell: 3.659 3.659 5.122 Å, 90.00 90.00 90.00°
Sites, in units of the cell vectors:
Mo  0.000  0.000  0.000
P  0.000  0.000  0.500
C  0.500  0.500  0.500
O  0.000  0.500  0.000
O  0.500  0.000  0.000

calculated total energy: -13.3629 eV/atom
SG: P4/mmm, No. 123
formation energy from raw total energies: 206 meV per atom
total moment: 1.2 μB per formula unit
D(E_F): 0.44 states/eV/atom

Entry 3:
Material: TlMoCO2
Method: DFT, meta-GGA SCAN
State: PBEsol geometry

Cell: 3.705 3.705 5.889 Å, 90.00 90.00 90.00°
Sites, in units of the cell vectors:
Tl  0.000  0.000  0.000
Mo  0.000  0.000  0.500
C  0.500  0.500  0.000
O  0.000  0.500  0.500
O  0.500  0.000  0.500

calculated total energy: -25.8312 eV/atom
SG: P4/mmm, No. 123
formation energy from raw total energies: 130 meV per atom
total moment: 1.4 μB per formula unit
D(E_F): 0.45 states/eV/atom

Entry 4:
Material: Mo2OsC2
Method: DFT, meta-GGA SCAN
State: PBEsol geometry

Cell: 4.940 4.940 4.940 Å, 135.12 135.12 65.34°
Sites, in units of the cell vectors:
Mo  0.156  0.156  0.000
Mo  0.844  0.844  0.000
Os  0.500  0.500  0.000
C  0.250  0.750  0.500
C  0.750  0.250  0.500

calculated total energy: -31.3278 eV/atom
SG: I4/mmm, No. 139
formation energy from the elements: 100.6 kJ/mol of atoms
total moment: 0.0 μB per formula unit
D(E_F): 0.50 states/eV/atom

Entry 5:
Material: Mo2OsPtC
Method: DFT, meta-GGA SCAN
State: PBEsol geometry

Cell: 4.865 4.865 3.581 Å, 90.00 90.00 90.00°
Sites, in units of the cell vectors:
Mo  0.000  0.500  0.000
Mo  0.500  0.000  0.000
Os  0.000  0.000  0.500
Pt  0.500  0.500  0.000
C  0.500  0.500  0.500

calculated total energy: -42.2837 eV/atom
SG: P4/mmm, No. 123
formation energy from the elements: 203.1 kJ/mol of atoms
total moment: 0.0 μB per formula unit
D(E_F): 0.93 states/eV/atom

Entry 6:
Material: MoPt2C
Method: DFT, meta-GGA SCAN
State: PBEsol geometry

Cell: 6.473 6.473 6.473 Å, 135.36 135.36 64.97°
Sites, in units of the cell vectors:
Mo  0.000  0.000  0.000
Mo  0.750  0.250  0.500
Pt  0.207  0.625  0.082
Pt  0.375  0.457  0.582
Pt  0.543  0.125  0.918
Pt  0.875  0.793  0.418
C  0.250  0.750  0.500
C  0.500  0.500  0.000

calculated total energy: -45.5852 eV/atom
SG: I-42d, No. 122
formation energy from the elements: 73.1 kJ/mol of atoms
total moment: 0.0 μB per formula unit
D(E_F): 0.57 states/eV/atom

Entry 7:
Material: ReMoC3
Method: DFT, meta-GGA SCAN
State: PBEsol geometry

Cell: 3.915 3.915 3.915 Å, 90.00 90.00 90.00°
Sites, in units of the cell vectors:
Re  0.000  0.000  0.000
Mo  0.500  0.500  0.500
C  0.000  0.500  0.500
C  0.500  0.000  0.500
C  0.500  0.500  0.000

calculated total energy: -24.5609 eV/atom
SG: Pm-3m, No. 221
formation energy from the elements: 260.1 kJ/mol of atoms
total moment: 2.0 μB per formula unit
D(E_F): 0.62 states/eV/atom

Entry 8:
Material: MoRh3C
Method: DFT, meta-GGA SCAN
State: PBEsol geometry

Cell: 4.557 4.557 4.557 Å, 90.00 90.00 90.00°
Sites, in units of the cell vectors:
Mo  0.000  0.000  0.000
Rh  0.000  0.000  0.500
Rh  0.000  0.500  0.000
Rh  0.500  0.000  0.000
C  0.500  0.500  0.500

calculated total energy: -26.6775 eV/atom
SG: Pm-3m, No. 221
formation energy from the elements: 249.2 kJ/mol of atoms
total moment: 0.0 μB per formula unit
D(E_F): 0.87 states/eV/atom

Entry 9:
Material: TcMoRhC2
Method: DFT, meta-GGA SCAN
State: PBEsol geometry

Cell: 3.930 3.930 4.800 Å, 90.00 90.00 90.00°
Sites, in units of the cell vectors:
Tc  0.000  0.000  0.000
Mo  0.000  0.000  0.500
Rh  0.500  0.500  0.000
C  0.000  0.500  0.500
C  0.500  0.000  0.500

calculated total energy: -22.5778 eV/atom
SG: P4/mmm, No. 123
formation energy from the elements: 212.8 kJ/mol of atoms
total moment: 1.9 μB per formula unit
D(E_F): 0.90 states/eV/atom

Entry 10:
Material: ZrMo2RuC
Method: DFT, meta-GGA SCAN
State: PBEsol geometry

Cell: 4.690 4.690 4.578 Å, 90.00 90.00 90.00°
Sites, in units of the cell vectors:
Zr  0.000  0.000  0.000
Mo  0.000  0.500  0.000
Mo  0.500  0.000  0.000
Ru  0.000  0.000  0.500
C  0.500  0.500  0.500

calculated total energy: -25.6744 eV/atom
SG: P4/mmm, No. 123
formation energy from the elements: 328.5 kJ/mol of atoms
total moment: 2.3 μB per formula unit
D(E_F): 1.01 states/eV/atom

Entry 11:
Material: MoCS3
Method: DFT, meta-GGA SCAN
State: PBEsol geometry

Cell: 4.590 4.590 4.590 Å, 90.00 90.00 90.00°
Sites, in units of the cell vectors:
Mo  0.000  0.000  0.000
C  0.500  0.500  0.500
S  0.000  0.000  0.500
S  0.000  0.500  0.000
S  0.500  0.000  0.000

calculated total energy: -13.3792 eV/atom
SG: Pm-3m, No. 221
formation energy from raw total energies: 1395 meV per atom
total moment: 1.6 μB per formula unit
D(E_F): 0.75 states/eV/atom

Entry 12:
Material: MoCS2
Method: DFT, meta-GGA SCAN
State: PBEsol geometry

Cell: 6.561 6.561 6.561 Å, 28.26 28.26 28.26°
Sites, in units of the cell vectors:
Mo  0.000  0.000  0.000
C  0.500  0.500  0.500
S  0.416  0.416  0.416
S  0.584  0.584  0.584

calculated total energy: -15.5246 eV/atom
SG: R-3m, No. 166
formation energy from raw total energies: 536 meV per atom
total moment: 0.0 μB per formula unit
D(E_F): 0.31 states/eV/atom

calculated total energy of number 2 (MoPCO2)? -13.3629 eV/atom

calculated total energy of number 6 (MoPt2C)? -45.5852 eV/atom